one) VASP calculation (PBE) on a relaxed structure of SrCr3C.

```
data_SrCr3C
_cell_length_a 4.4440
_cell_length_b 4.4440
_cell_length_c 4.4440
_cell_angle_alpha 90.00
_cell_angle_beta 90.00
_cell_angle_gamma 90.00
_symmetry_space_group_name_H-M 'P m -3 m'
_symmetry_Int_Tables_number 221
_symmetry_space_group_name_Hall '-P 4 2 3'
loop_
_atom_site_label
_atom_site_type_symbol
_atom_site_fract_x
_atom_site_fract_y
_atom_site_fract_z
Sr1 Sr 0.0000 0.0000 0.0000
Cr1 Cr 0.0000 0.0000 0.5000
C1 C 0.5000 0.5000 0.5000
```

Spin magnetization = 0.0 μB per formula unit
Volume = 17.55 Å³/atom


two) VASP calculation (PBE) on a relaxed structure of SrCr3C.

```
data_SrCr3C
_cell_length_a 4.2395
_cell_length_b 4.2395
_cell_length_c 4.2395
_cell_angle_alpha 90.00
_cell_angle_beta 90.00
_cell_angle_gamma 90.00
_symmetry_space_group_name_H-M 'P m -3 m'
_symmetry_Int_Tables_number 221
_symmetry_space_group_name_Hall '-P 4 2 3'
loop_
_atom_site_label
_atom_site_type_symbol
_atom_site_fract_x
_atom_site_fract_y
_atom_site_fract_z
Sr1 Sr 0.0000 0.0000 0.0000
Cr1 Cr 0.0000 0.5000 0.5000
C1 C 0.5000 0.5000 0.5000
```

Spin magnetization = 7.8 μB per formula unit
Volume = 15.24 Å³/atom


Most stable structure, least stable structure: two), one).